# 1
LiZn12Ga7: optimized geometry, PBE.

```
20
Lattice="-0.468 -6.087 3.812 4.037 -2.031 -5.601 4.654 3.869 3.895" Properties=species:S:1:pos:R:3 pbc="T T T"
Zn 3.752 -1.463 -3.033
Zn 5.230 -0.944 3.383
Zn 0.868 -4.435 2.235
Zn 7.356 0.186 -0.130
Zn 3.782 1.557 2.949
Zn 2.993 -3.305 -1.277
Zn 5.926 -1.824 -1.113
Zn 2.297 -2.425 3.219
Zn 4.471 -2.786 5.139
Zn 4.442 -5.806 -0.843
Zn 4.557 0.642 0.580
Zn 3.666 -4.891 1.526
Ga 5.611 -3.681 3.026
Ga 6.058 -4.173 0.289
Ga 2.165 -0.076 1.817
Ga 6.990 -1.787 1.462
Ga 4.112 -2.124 1.053
Ga 1.233 -2.462 0.643
Ga 2.613 -0.568 -0.921
Li 0.000 0.000 0.000
```

Calculated values
* total magnetic moment: 0.00 μB per formula unit
* ΔH_f (0 K): 0.043 eV/atom
* space-group type: R-3
* ρ: 6.187 g/cm3



# 2
EuGaSn4: optimized geometry, PBE.

```
6
Lattice="-5.471 -0.010 2.947 -0.317 -1.740 5.957 -1.161 4.220 4.412" Properties=species:S:1:pos:R:3 pbc="T T T"
Eu -1.737 0.618 3.329
Sn -1.602 1.550 6.849
Sn -4.187 2.417 5.340
Sn -3.764 -0.571 6.115
Sn -4.346 1.545 8.327
Ga 0.000 0.000 0.000
```

Calculated values
* total magnetic moment: 6.91 μB per formula unit
* ΔH_f (0 K): -0.173 eV/atom
* space-group type: F-43m
* ρ: 6.816 g/cm3



# 3
Ac2Nd3Hg3: optimized geometry, PBE.

```
8
Lattice="3.964 0.000 0.000 0.000 5.631 0.000 -1.982 -2.816 11.684" Properties=species:S:1:pos:R:3 pbc="T T T"
Nd 1.982 0.000 0.000
Nd 1.982 2.816 2.685
Nd 0.000 0.000 8.999
Ac 1.982 0.000 5.283
Ac 0.000 2.816 6.401
Hg 0.000 0.000 2.555
Hg 0.000 2.816 0.000
Hg 1.982 2.816 9.129
```

Calculated values
* total magnetic moment: 0.01 μB per formula unit
* ΔH_f (0 K): -0.292 eV/atom
* space-group type: Immm
* ρ: 9.477 g/cm3



# 4
LiCa2Si: optimized geometry, PBE.

```
4
Lattice="4.674 0.000 0.000 0.000 3.746 0.006 0.000 1.864 5.898" Properties=species:S:1:pos:R:3 pbc="T T T"
Ca 2.337 1.638 1.882
Ca 0.000 5.375 5.400
Li 0.000 3.507 3.018
Si 2.337 3.505 4.460
```

Calculated values
* total magnetic moment: 0.00 μB per formula unit
* space-group type: Amm2
* raw formation energy: -0.218 eV/atom
* ρ: 1.853 g/cm3



# 5
CeEr2TmBi4: optimized geometry, PBE.

```
8
Lattice="-3.771 1.385 2.006 -4.171 -4.562 -4.692 1.948 -3.954 6.392" Properties=species:S:1:pos:R:3 pbc="T T T"
Er -1.111 -4.258 0.850
Er -0.912 -1.285 4.199
Bi -3.571 -5.703 2.248
Bi -2.656 -4.461 -1.915
Bi 0.433 -4.055 3.614
Bi -2.423 -1.429 1.457
Tm 0.000 0.000 0.000
Ce -3.971 -1.589 -1.343
```

Calculated values
* total magnetic moment: 0.80 μB per formula unit
* ΔH_f (0 K): -0.796 eV/atom
* space-group type: P2/m
* ρ: 9.632 g/cm3



# 6
Sb2PPt8: optimized geometry, PBE.

```
11
Lattice="-2.062 4.404 0.861 -4.192 -2.487 2.678 6.431 0.430 4.691" Properties=species:S:1:pos:R:3 pbc="T T T"
Pt 2.380 2.225 5.791
Pt 4.117 0.652 4.219
Pt -1.885 2.914 2.699
Pt -2.203 0.122 2.440
Pt 0.291 1.410 1.765
Pt -0.114 0.937 6.466
Pt 2.062 -0.567 5.532
Pt -3.940 1.695 4.012
Sb 0.714 2.989 3.893
Sb -0.537 -0.641 4.338
P 0.000 0.000 0.000
```

Calculated values
* total magnetic moment: 0.00 μB per formula unit
* space-group type: C2/m
* raw formation energy: -0.141 eV/atom
* ρ: 15.153 g/cm3



# 7
Tb3CeY12: optimized geometry, PBE.

```
16
Lattice="-3.292 2.658 -2.764 -1.511 -4.247 -2.284 -14.086 -2.642 14.235" Properties=species:S:1:pos:R:3 pbc="T T T"
Ce 0.000 0.000 0.000
Y -6.033 -3.113 4.191
Y -3.391 1.001 0.382
Y -5.932 -1.457 1.043
Y -2.501 -2.451 0.622
Y -6.923 0.339 3.951
Y -10.455 -0.323 7.520
Y -13.986 -0.986 11.089
Y -9.444 -2.116 4.594
Y -9.564 -3.776 7.760
Y -13.096 -4.438 11.329
Y -12.957 -2.775 8.144
Y -2.402 -0.795 -2.524
Tb -7.043 -1.321 7.118
Tb -3.505 -0.657 3.542
Tb -10.581 -1.985 10.693
```

Calculated values
* total magnetic moment: 0.97 μB per formula unit
* ΔH_f (0 K): 0.036 eV/atom
* space-group type: P4/mmm
* ρ: 5.420 g/cm3



# 8
Ca2SnS4: optimized geometry, PBE.

```
28
Lattice="-6.508 -1.138 -3.167 2.559 -7.849 -2.437 -3.842 -4.169 9.393" Properties=species:S:1:pos:R:3 pbc="T T T"
S -1.871 -6.098 2.154
S -4.952 -1.167 -1.762
S -0.645 -9.857 0.987
S -8.314 -6.351 4.124
S -4.450 -3.927 0.373
S -7.146 -3.299 2.802
S -4.065 -8.230 6.718
S -0.821 -2.919 0.938
S -3.726 -4.926 -2.929
S -3.176 -7.825 -0.934
S -4.615 -5.331 4.723
S 0.523 -6.805 -0.335
S -6.970 -10.237 2.851
S -5.920 -7.058 1.635
S -2.839 -11.989 5.551
S -3.341 -9.230 3.416
Ca -4.583 -11.884 3.216
Ca -5.634 -6.256 -1.124
Ca -3.208 -1.272 0.573
Ca -1.954 -5.116 -0.621
Ca -2.157 -6.900 4.912
Ca -4.381 -10.100 -2.317
Ca -5.837 -8.040 4.409
Ca -3.410 -3.056 6.106
Sn -5.321 -4.852 2.438
Sn -2.492 -10.057 6.971
Sn -2.470 -8.304 1.350
Sn -5.299 -3.100 -3.182
```

Calculated values
* total magnetic moment: 0.00 μB per formula unit
* space-group type: Pnma
* raw formation energy: -1.359 eV/atom
* ρ: 3.140 g/cm3
* energy above the lowest structure with this stoichiometry: 39 meV per atom



# 9
TiReSe: optimized geometry, PBE.

```
6
Lattice="3.158 0.000 0.000 -1.579 2.735 0.000 0.000 0.000 11.370" Properties=species:S:1:pos:R:3 pbc="T T T"
Re 1.579 0.609 0.000
Re 0.000 1.518 5.685
Ti 0.000 1.520 9.466
Ti 0.000 1.520 1.904
Se 1.579 0.607 3.817
Se 1.579 0.607 7.553
```

Calculated values
* total magnetic moment: 0.00 μB per formula unit
* space-group type: P-6m2
* raw formation energy: -0.003 eV/atom
* ρ: 10.586 g/cm3



# 10
SmDy2TmBi5: optimized geometry, PBE.

```
9
Lattice="5.353 0.000 0.000 0.000 5.353 0.000 0.000 0.000 12.002" Properties=species:S:1:pos:R:3 pbc="T T T"
Sm 0.000 0.000 0.000
Bi 0.000 0.000 2.986
Bi 0.000 2.676 6.001
Bi 2.676 0.000 6.001
Bi 2.676 2.676 0.000
Bi 0.000 0.000 9.016
Dy 2.676 2.676 3.165
Dy 2.676 2.676 8.837
Tm 0.000 0.000 6.001
```

Calculated values
* total magnetic moment: 0.00 μB per formula unit
* ΔH_f (0 K): -0.015 eV/atom
* space-group type: P4/mmm
* ρ: 8.156 g/cm3



# 11
DyHo2Tl: optimized geometry, PBE.

```
4
Lattice="-3.450 0.516 0.831 -2.437 -2.495 -0.833 -0.360 -5.432 9.614" Properties=species:S:1:pos:R:3 pbc="T T T"
Dy -3.123 -3.706 4.807
Tl -3.925 -1.322 0.002
Ho -1.581 -1.797 2.290
Ho -0.742 -4.292 7.319
```

Calculated values
* total magnetic moment: 0.35 μB per formula unit
* ΔH_f (0 K): -0.110 eV/atom
* space-group type: R3m
* ρ: 9.572 g/cm3
* energy above the lowest structure with this stoichiometry: 74 meV per atom



# 12
Sr5LiZn4: optimized geometry, PBE.

```
10
Lattice="-2.022 1.848 2.817 -3.192 0.000 -2.292 -5.546 -17.840 7.722" Properties=species:S:1:pos:R:3 pbc="T T T"
Sr -7.516 -14.865 7.097
Sr -5.380 -7.996 4.123
Sr -6.454 -11.450 5.619
Sr -3.245 -1.126 1.150
Sr -4.306 -4.541 2.628
Zn -4.398 -14.148 6.124
Zn -3.308 -10.640 4.606
Zn -1.148 -3.692 1.598
Zn -2.238 -7.200 3.116
Li 0.000 0.000 0.000
```

Calculated values
* total magnetic moment: 0.00 μB per formula unit
* ΔH_f (0 K): -0.145 eV/atom
* space-group type: P4/mmm
* ρ: 3.759 g/cm3



# 13
ErPuPaSn: optimized geometry, PBE.

```
4
Lattice="-4.128 2.177 2.374 -4.540 -2.596 0.261 -1.677 -1.887 4.587" Properties=species:S:1:pos:R:3 pbc="T T T"
Sn -2.586 -0.576 1.806
Pa -7.759 -1.729 5.417
Pu 0.000 0.000 0.000
Er -5.172 -1.153 3.611
```

Calculated values
* total magnetic moment: 7.30 μB per formula unit
* ΔH_f (0 K): -0.044 eV/atom
* space-group type: F-43m
* ρ: 12.449 g/cm3



# 14
SbAs2Se: optimized geometry, PBE.

```
4
Lattice="-3.805 -2.878 5.320 -0.496 -1.950 6.856 -0.712 4.234 -1.024" Properties=species:S:1:pos:R:3 pbc="T T T"
As -0.730 3.979 -0.831
As -2.489 -0.042 5.383
Se -3.760 -0.446 8.364
Sb -1.253 -0.149 2.788
```

Calculated values
* total magnetic moment: 0.00 μB per formula unit
* space-group type: C2/m
* raw formation energy: 0.015 eV/atom
* ρ: 5.833 g/cm3
* energy above the lowest structure with this stoichiometry: 0 meV per atom



# 15
Tb9Er4In11: optimized geometry, PBE.

```
24
Lattice="3.466 0.000 0.000 0.000 13.214 -3.898 0.000 1.608 13.683" Properties=species:S:1:pos:R:3 pbc="T T T"
Tb 1.733 2.905 7.988
Tb 1.733 12.020 10.160
Tb 1.733 14.066 7.060
Tb 1.733 11.917 1.796
Tb 1.733 6.334 10.253
Tb 1.733 0.756 2.724
Tb 1.733 7.411 4.892
Tb 1.733 2.802 -0.375
Tb 1.733 8.487 -0.468
In 0.000 3.578 10.698
In 0.000 13.272 4.307
In 0.000 9.176 10.512
In 0.000 1.550 5.477
In 0.000 3.466 2.288
In 0.000 5.645 -0.728
In 0.000 5.829 7.288
In 0.000 11.243 -0.913
In 0.000 0.000 0.000
In 0.000 8.993 2.496
In 0.000 11.356 7.496
Er 1.733 6.109 1.933
Er 1.733 4.178 4.858
Er 1.733 8.713 7.851
Er 1.733 10.643 4.927
```

Calculated values
* total magnetic moment: 0.00 μB per formula unit
* ΔH_f (0 K): -0.387 eV/atom
* space-group type: Cmmm
* ρ: 8.610 g/cm3



# 16
Ca2NdLu: optimized geometry, PBE.

```
4
Lattice="-3.247 0.227 1.490 -0.929 -2.256 2.621 3.275 7.727 10.258" Properties=species:S:1:pos:R:3 pbc="T T T"
Lu 0.000 0.000 0.000
Ca 2.071 5.560 7.965
Ca -2.973 0.140 6.403
Nd -0.451 2.850 7.184
```

Calculated values
* total magnetic moment: 0.44 μB per formula unit
* ΔH_f (0 K): 0.255 eV/atom
* space-group type: R-3m
* ρ: 4.563 g/cm3
* energy above the lowest structure with this stoichiometry: 87 meV per atom



# 17
SrGe4I2: optimized geometry, PBE.

```
7
Lattice="5.870 0.000 0.000 0.000 5.870 0.000 2.935 2.935 8.631" Properties=species:S:1:pos:R:3 pbc="T T T"
I 2.935 2.935 3.216
I 5.870 5.870 5.415
Ge 2.935 0.000 0.000
Ge 0.000 2.935 0.000
Ge 5.870 5.870 2.890
Ge 2.935 2.935 5.742
Sr 0.000 0.000 0.000
```

Calculated values
* total magnetic moment: 0.00 μB per formula unit
* space-group type: I4/mmm
* raw formation energy: 0.766 eV/atom
* ρ: 3.529 g/cm3



# 18
Ag2NF3: optimized geometry, PBE.

```
12
Lattice="-4.865 3.675 2.134 -6.984 -0.892 5.711 0.756 6.510 3.884" Properties=species:S:1:pos:R:3 pbc="T T T"
F -6.788 2.350 4.758
F -4.305 6.942 6.971
F -7.534 3.662 7.930
F -7.931 6.483 9.879
F -3.163 2.810 1.850
F -3.559 5.630 3.799
N -7.465 6.674 6.837
N -3.628 2.619 4.892
Ag -3.052 7.295 5.121
Ag -5.466 0.487 5.270
Ag -5.628 8.806 6.459
Ag -8.041 1.998 6.608
```

Calculated values
* total magnetic moment: 0.00 μB per formula unit
* space-group type: P-1
* raw formation energy: -0.858 eV/atom
* ρ: 4.374 g/cm3



# 19
Tc5Sb: optimized geometry, PBE.

```
6
Lattice="1.453 5.088 -0.020 -1.453 5.088 -0.020 0.000 1.766 6.300" Properties=species:S:1:pos:R:3 pbc="T T T"
Tc 0.000 6.874 1.780
Tc 0.000 10.722 3.789
Tc 0.000 4.008 2.167
Tc 0.000 4.333 5.840
Tc 0.000 8.018 4.096
Sb 0.000 10.058 0.021
```

Calculated values
* total magnetic moment: 0.00 μB per formula unit
* space-group type: Cm
* raw formation energy: 0.112 eV/atom
* ρ: 10.894 g/cm3
* energy above the lowest structure with this stoichiometry: 0 meV per atom



# 20
Be2MoP: optimized geometry, PBE.

```
4
Lattice="-1.838 0.974 -1.493 0.695 -1.583 -1.889 -4.726 -5.070 2.510" Properties=species:S:1:pos:R:3 pbc="T T T"
Mo -2.246 -2.409 1.192
Be -0.191 -0.205 0.102
Be -1.628 -1.438 -1.130
P -4.167 -4.162 0.219
```

Calculated values
* total magnetic moment: 0.00 μB per formula unit
* ΔH_f (0 K): 0.382 eV/atom
* space-group type: P4mm
* ρ: 4.981 g/cm3